First-principles (GGA-PBE) data for a relaxed PmPuIrCl crystal, as listed in the Alexandria database.

Cell and atoms, written as POSCAR:
```
PmPuIrCl
1.0
-2.149 0.254 -3.369
-1.839 -0.585 3.508
1.450 7.627 2.033
Cl Pu Ir Pm
1 1 1 1
direct
0.972 0.384 0.371
0.101 0.949 0.065
0.308 0.552 0.875
0.496 0.146 0.658
```

The calculation puts the volume at 26.67 A^3/atom. For the electronic total energy, the calculation gives -8.4173 eV per atom. The value obtained for the calculated density is 9598 kg/m3.


First-principles (GGA-PBE) data for a relaxed Pm4IrRhCl2 crystal, as listed in the Alexandria database.

Cell and atoms, written as POSCAR:
```
Pm4IrRhCl2
1.0
4.088 0.000 0.000
0.000 7.860 -0.458
0.000 2.475 6.610
Rh Pm Cl Ir
1 4 2 1
direct
0.500 0.500 0.000
0.500 0.296 0.732
0.000 0.704 0.766
0.000 0.296 0.234
0.500 0.704 0.268
0.000 0.000 0.000
0.500 0.000 0.500
0.000 0.500 0.500
```

The calculation puts the volume at 27.13 A^3/atom. For the electronic total energy, the calculation gives -6.0573 eV per atom. The value obtained for the calculated density is 7239 kg/m3.


First-principles (GGA-PBE) data for a relaxed Pm8Ir3RuCl4 crystal, as listed in the Alexandria database.

Cell and atoms, written as POSCAR:
```
Pm8Ir3RuCl4
1.0
8.155 0.000 0.000
0.000 8.875 0.497
-4.078 -4.072 5.773
Pm Cl Ir Ru
8 4 3 1
direct
0.734 0.702 0.468
0.767 0.296 0.534
0.739 0.704 0.971
0.767 0.296 0.029
0.233 0.704 0.466
0.233 0.704 0.971
0.261 0.296 0.029
0.266 0.298 0.532
0.500 0.000 0.000
0.000 0.000 0.000
0.500 0.000 0.500
0.000 0.000 0.500
0.500 0.500 0.000
0.000 0.500 0.500
0.500 0.500 0.500
0.000 0.500 0.000
```

The calculation puts the volume at 27.14 A^3/atom. For the electronic total energy, the calculation gives -6.1990 eV per atom. The value obtained for the calculated density is 7569 kg/m3.


First-principles (GGA-PBE) data for a relaxed Pm4IrRuCl2 crystal, as listed in the Alexandria database.

Cell and atoms, written as POSCAR:
```
Pm4IrRuCl2
1.0
4.046 0.000 0.000
0.000 7.035 0.121
0.000 -2.474 7.513
Cl Pm Ru Ir
2 4 1 1
direct
0.500 0.000 0.500
0.000 0.500 0.500
0.500 0.240 0.204
0.000 0.267 0.794
0.000 0.733 0.206
0.500 0.760 0.796
0.500 0.500 0.000
0.000 0.000 0.000
```

The calculation puts the volume at 26.88 A^3/atom. For the electronic total energy, the calculation gives -6.1393 eV per atom. The value obtained for the calculated density is 7290 kg/m3.


First-principles (GGA-PBE) data for a relaxed Pm6Ir2RuCl3 crystal, as listed in the Alexandria database.

Cell and atoms, written as POSCAR:
```
Pm6Ir2RuCl3
1.0
-3.191 1.396 2.096
-1.926 -8.281 2.585
7.524 3.448 5.215
Cl Pm Ir Ru
3 6 2 1
direct
0.835 0.170 0.670
0.500 0.500 0.000
0.165 0.830 0.330
0.346 0.899 0.691
0.654 0.101 0.309
0.992 0.778 0.985
0.323 0.445 0.645
0.008 0.222 0.015
0.677 0.555 0.355
0.834 0.670 0.668
0.166 0.330 0.332
0.500 0.000 0.000
```

The calculation puts the volume at 27.01 A^3/atom. For the electronic total energy, the calculation gives -6.1810 eV per atom. The value obtained for the calculated density is 7490 kg/m3.


First-principles (GGA-PBE) data for a relaxed Pm6Ir2SCl3 crystal, as listed in the Alexandria database.

Cell and atoms, written as POSCAR:
```
Pm6Ir2SCl3
1.0
-7.079 0.590 -1.169
2.988 -6.500 0.804
0.197 2.302 7.267
Pm Cl Ir S
6 3 2 1
direct
0.720 0.720 0.206
0.930 0.582 0.791
0.418 0.070 0.209
0.280 0.280 0.794
0.582 0.930 0.791
0.070 0.418 0.209
0.500 0.500 0.500
0.158 0.842 0.500
0.842 0.158 0.500
0.668 0.332 0.000
0.332 0.668 0.000
0.000 0.000 0.000
```

The calculation puts the volume at 27.10 A^3/atom. For the electronic total energy, the calculation gives -6.0220 eV per atom. The value obtained for the calculated density is 7112 kg/m3.


Question: Look up the calculated density of the fourth one.
Answer: 7290 kg/m3